Entry 1:
This record from the Alexandria database describes an optimized crystal structure of Li4FeOF5. The functional is PBE with a Hubbard U. Values from VASP.

```
&SYSTEM
  ibrav = 0, nat = 22, ntyp = 4
/
ATOMIC_SPECIES
Li 6.94 Li.upf
Fe 55.84 Fe.upf
O 16.00 O.upf
F 19.00 F.upf
ATOMIC_POSITIONS crystal
Li 0.066 0.934 0.500
Li 0.219 0.683 0.968
Li 0.371 0.541 0.515
Li 0.541 0.371 0.015
Li 0.641 0.789 0.233
Li 0.683 0.219 0.468
Li 0.789 0.641 0.733
Li 0.934 0.066 0.000
Fe 0.031 0.490 0.234
Fe 0.490 0.031 0.734
O 0.270 0.462 0.111
O 0.462 0.270 0.611
F 0.016 0.218 0.381
F 0.131 0.668 0.631
F 0.218 0.016 0.881
F 0.368 0.819 0.368
F 0.571 0.770 0.865
F 0.668 0.131 0.131
F 0.739 0.917 0.614
F 0.770 0.571 0.365
F 0.819 0.368 0.868
F 0.917 0.739 0.114
CELL_PARAMETERS angstrom
2.635 -4.444 0.000
2.635 4.444 0.000
-1.429 0.000 9.559
```

DOS(E_F) = 0.00 states/eV/cell
calculated volume = 10.175 A^3/atom
symmetry = Cc, No. 9
energy above the lowest structure with this stoichiometry = 14 meV per atom
density = 2.887 g/cm3

=====

Entry 2:
This record from the Alexandria database describes an optimized crystal structure of LiFe3O2F6. The functional is PBE with a Hubbard U. Values from VASP.

```
&SYSTEM
  ibrav = 0, nat = 24, ntyp = 4
/
ATOMIC_SPECIES
Li 6.94 Li.upf
Fe 55.84 Fe.upf
O 16.00 O.upf
F 19.00 F.upf
ATOMIC_POSITIONS crystal
Li 0.210 0.157 0.163
Li 0.790 0.843 0.837
Fe 0.240 0.169 0.674
Fe 0.260 0.683 0.681
Fe 0.289 0.661 0.178
Fe 0.711 0.339 0.822
Fe 0.740 0.317 0.319
Fe 0.760 0.831 0.326
O 0.112 0.922 0.691
O 0.401 0.423 0.701
O 0.599 0.577 0.299
O 0.888 0.078 0.309
F 0.040 0.197 0.908
F 0.084 0.427 0.193
F 0.097 0.686 0.426
F 0.408 0.200 0.430
F 0.426 0.687 0.929
F 0.427 0.921 0.191
F 0.573 0.079 0.809
F 0.574 0.313 0.071
F 0.592 0.800 0.570
F 0.903 0.314 0.574
F 0.916 0.573 0.807
F 0.960 0.803 0.092
CELL_PARAMETERS angstrom
5.170 0.000 0.000
0.026 7.128 0.000
0.106 1.416 7.404
```

DOS(E_F) = 0.00 states/eV/cell
calculated volume = 11.369 A^3/atom
symmetry = P-1, No. 2
energy above the lowest structure with this stoichiometry = 0 meV per atom
density = 3.900 g/cm3

=====

Entry 3:
This record from the Alexandria database describes an optimized crystal structure of Li4FeOF5. The functional is PBE with a Hubbard U. Values from VASP.

```
&SYSTEM
  ibrav = 0, nat = 33, ntyp = 4
/
ATOMIC_SPECIES
Li 6.94 Li.upf
Fe 55.84 Fe.upf
O 16.00 O.upf
F 19.00 F.upf
ATOMIC_POSITIONS crystal
Li 0.000 0.000 0.000
Li 0.332 0.998 0.548
Li 0.337 0.995 0.841
Li 0.338 0.661 0.688
Li 0.341 0.666 0.391
Li 0.652 0.652 0.844
Li 0.661 0.338 0.688
Li 0.666 0.341 0.391
Li 0.981 0.981 0.674
Li 0.993 0.993 0.385
Li 0.995 0.337 0.841
Li 0.998 0.332 0.548
Fe 0.333 0.999 0.193
Fe 0.666 0.666 0.192
Fe 0.999 0.333 0.193
O 0.333 0.665 0.205
O 0.665 0.333 0.205
O 0.999 0.999 0.216
F 0.000 0.342 0.351
F 0.041 0.041 0.522
F 0.288 0.664 0.527
F 0.300 0.999 0.053
F 0.320 0.995 0.690
F 0.327 0.662 0.842
F 0.342 0.000 0.351
F 0.660 0.660 0.351
F 0.662 0.327 0.842
F 0.664 0.288 0.527
F 0.667 0.667 0.696
F 0.698 0.698 0.052
F 0.995 0.320 0.690
F 0.997 0.997 0.862
F 0.999 0.300 0.053
CELL_PARAMETERS angstrom
2.911 -5.032 0.000
2.911 5.032 0.000
-0.035 0.000 13.292
```

calculated volume = 11.799 A^3/atom
symmetry = Cm, No. 8
energy above the lowest structure with this stoichiometry = 0 meV per atom
density = 2.490 g/cm3

=====

Entry 4:
This record from the Alexandria database describes an optimized crystal structure of LiFe2OF3. The functional is PBE with a Hubbard U. Values from VASP.

```
&SYSTEM
  ibrav = 0, nat = 14, ntyp = 4
/
ATOMIC_SPECIES
Li 6.94 Li.upf
Fe 55.84 Fe.upf
O 16.00 O.upf
F 19.00 F.upf
ATOMIC_POSITIONS crystal
Li 0.000 0.000 0.000
Li 0.000 0.000 0.500
Fe 0.000 0.500 0.000
Fe 0.398 0.398 0.565
Fe 0.500 0.000 0.000
Fe 0.602 0.602 0.435
O 0.254 0.254 0.200
O 0.746 0.746 0.800
F 0.214 0.769 0.744
F 0.231 0.786 0.256
F 0.251 0.251 0.737
F 0.749 0.749 0.263
F 0.769 0.214 0.744
F 0.786 0.231 0.256
CELL_PARAMETERS angstrom
4.954 -3.199 0.000
4.954 3.199 0.000
-3.228 0.000 5.151
```

calculated volume = 11.661 A^3/atom
symmetry = C2/m, No. 12
energy above the lowest structure with this stoichiometry = 152 meV per atom
density = 3.898 g/cm3

=====

Entry 5:
This record from the Alexandria database describes an optimized crystal structure of Li3Fe2O3F3. The functional is PBE with a Hubbard U. Values from VASP.

```
&SYSTEM
  ibrav = 0, nat = 11, ntyp = 4
/
ATOMIC_SPECIES
Li 6.94 Li.upf
Fe 55.84 Fe.upf
O 16.00 O.upf
F 19.00 F.upf
ATOMIC_POSITIONS crystal
Li 0.000 0.000 0.000
Li 0.120 0.120 0.120
Li 0.727 0.727 0.727
Fe 0.599 0.599 0.599
Fe 0.857 0.857 0.857
O 0.169 0.169 0.169
O 0.552 0.552 0.552
O 0.941 0.941 0.941
F 0.047 0.047 0.047
F 0.655 0.655 0.655
F 0.774 0.774 0.774
CELL_PARAMETERS angstrom
1.611 0.930 13.504
-1.611 0.930 13.504
0.000 -1.860 13.504
```

calculated volume = 11.034 A^3/atom
symmetry = R3m, No. 160
density = 3.249 g/cm3

=====

Entry 6:
This record from the Alexandria database describes an optimized crystal structure of LiFe2OF3. The functional is PBE with a Hubbard U. Values from VASP.

```
&SYSTEM
  ibrav = 0, nat = 28, ntyp = 4
/
ATOMIC_SPECIES
Li 6.94 Li.upf
Fe 55.84 Fe.upf
O 16.00 O.upf
F 19.00 F.upf
ATOMIC_POSITIONS crystal
Li 0.000 0.000 0.000
Li 0.241 0.239 0.244
Li 0.500 0.000 0.002
Li 0.752 0.264 0.744
Fe 0.010 0.488 0.491
Fe 0.244 0.728 0.248
Fe 0.274 0.933 0.626
Fe 0.300 0.474 0.876
Fe 0.508 0.485 0.511
Fe 0.739 0.052 0.372
Fe 0.753 0.755 0.758
Fe 0.798 0.474 0.124
O 0.028 0.495 0.265
O 0.251 0.703 0.484
O 0.531 0.539 0.743
O 0.772 0.279 0.514
F 0.004 0.007 0.230
F 0.012 0.495 0.740
F 0.233 0.227 0.013
F 0.255 0.760 0.006
F 0.281 0.212 0.486
F 0.485 0.973 0.233
F 0.503 0.460 0.242
F 0.504 0.031 0.770
F 0.739 0.233 0.983
F 0.750 0.772 0.511
F 0.759 0.768 0.997
F 0.991 0.984 0.764
CELL_PARAMETERS angstrom
6.096 0.000 0.000
0.326 6.096 0.000
0.028 0.196 8.928
```

DOS(E_F) = 0.00 states/eV/cell
calculated volume = 11.849 A^3/atom
symmetry = P1, No. 1
energy above the lowest structure with this stoichiometry = 92 meV per atom
density = 3.836 g/cm3

=====

Entry 7:
This record from the Alexandria database describes an optimized crystal structure of Li2FeOF3. The functional is PBE with a Hubbard U. Values from VASP.

```
&SYSTEM
  ibrav = 0, nat = 14, ntyp = 4
/
ATOMIC_SPECIES
Li 6.94 Li.upf
Fe 55.84 Fe.upf
O 16.00 O.upf
F 19.00 F.upf
ATOMIC_POSITIONS crystal
Li 0.000 0.000 0.000
Li 0.000 0.000 0.500
Li 0.230 0.230 0.388
Li 0.770 0.770 0.612
Fe 0.230 0.230 0.872
Fe 0.770 0.770 0.128
O 0.363 0.363 0.055
O 0.637 0.637 0.945
F 0.142 0.142 0.172
F 0.154 0.154 0.688
F 0.374 0.374 0.550
F 0.626 0.626 0.450
F 0.846 0.846 0.312
F 0.858 0.858 0.828
CELL_PARAMETERS angstrom
4.970 -1.486 0.000
4.970 1.486 0.000
-2.147 0.000 10.191
```

DOS(E_F) = 0.00 states/eV/cell
calculated volume = 10.752 A^3/atom
symmetry = C2/m, No. 12
energy above the lowest structure with this stoichiometry = 17 meV per atom
density = 3.149 g/cm3

=====

Entry 8:
This record from the Alexandria database describes an optimized crystal structure of LiFe6O4F8. The functional is PBE with a Hubbard U. Values from VASP.

```
&SYSTEM
  ibrav = 0, nat = 19, ntyp = 4
/
ATOMIC_SPECIES
Li 6.94 Li.upf
Fe 55.84 Fe.upf
O 16.00 O.upf
F 19.00 F.upf
ATOMIC_POSITIONS crystal
Li 0.000 0.000 0.000
Fe 0.083 0.517 0.820
Fe 0.099 0.603 0.342
Fe 0.397 0.901 0.658
Fe 0.483 0.917 0.180
Fe 0.615 0.385 0.000
Fe 0.750 0.250 0.500
O 0.054 0.946 0.500
O 0.372 0.224 0.825
O 0.455 0.545 0.500
O 0.776 0.628 0.175
F 0.182 0.220 0.178
F 0.206 0.698 0.136
F 0.302 0.794 0.864
F 0.542 0.020 0.482
F 0.703 0.165 0.209
F 0.780 0.818 0.822
F 0.835 0.297 0.791
F 0.980 0.458 0.518
CELL_PARAMETERS angstrom
4.739 -3.329 0.000
4.739 3.329 0.000
-2.594 0.000 7.045
```

calculated volume = 11.700 A^3/atom
symmetry = C2, No. 5
energy above the lowest structure with this stoichiometry = 54 meV per atom
density = 4.168 g/cm3

=====

Entry 9:
This record from the Alexandria database describes an optimized crystal structure of Li9Fe3O2F14. The functional is PBE with a Hubbard U. Values from VASP.

```
&SYSTEM
  ibrav = 0, nat = 28, ntyp = 4
/
ATOMIC_SPECIES
Li 6.94 Li.upf
Fe 55.84 Fe.upf
O 16.00 O.upf
F 19.00 F.upf
ATOMIC_POSITIONS crystal
Li 0.000 0.000 0.000
Li 0.000 0.500 0.500
Li 0.041 0.081 0.309
Li 0.237 0.235 0.758
Li 0.455 0.405 0.195
Li 0.500 0.000 0.000
Li 0.545 0.595 0.805
Li 0.763 0.765 0.242
Li 0.959 0.919 0.691
Fe 0.000 0.500 0.000
Fe 0.500 0.000 0.500
Fe 0.500 0.500 0.500
O 0.393 0.351 0.400
O 0.607 0.649 0.600
F 0.115 0.618 0.118
F 0.120 0.148 0.112
F 0.142 0.128 0.621
F 0.145 0.599 0.623
F 0.345 0.380 0.883
F 0.353 0.905 0.883
F 0.380 0.871 0.374
F 0.620 0.129 0.626
F 0.647 0.095 0.117
F 0.655 0.620 0.117
F 0.855 0.401 0.377
F 0.858 0.872 0.379
F 0.880 0.852 0.888
F 0.885 0.382 0.882
CELL_PARAMETERS angstrom
5.911 0.000 0.000
2.955 5.210 0.000
2.813 1.805 9.728
```

DOS(E_F) = 0.00 states/eV/cell
calculated volume = 10.701 A^3/atom
symmetry = P-1, No. 2
density = 2.926 g/cm3

=====

Entry 10:
This record from the Alexandria database describes an optimized crystal structure of Li3Fe3OF7. The functional is PBE with a Hubbard U. Values from VASP.

```
&SYSTEM
  ibrav = 0, nat = 14, ntyp = 4
/
ATOMIC_SPECIES
Li 6.94 Li.upf
Fe 55.84 Fe.upf
O 16.00 O.upf
F 19.00 F.upf
ATOMIC_POSITIONS crystal
Li 0.000 0.000 0.000
Li 0.098 0.000 0.316
Li 0.552 0.500 0.422
Fe 0.123 0.500 0.596
Fe 0.583 0.500 0.102
Fe 0.626 0.000 0.833
O 0.790 0.500 0.934
F 0.352 0.000 0.012
F 0.354 0.500 0.264
F 0.356 0.000 0.494
F 0.407 0.500 0.734
F 0.837 0.000 0.177
F 0.907 0.000 0.674
F 0.916 0.500 0.426
CELL_PARAMETERS angstrom
5.137 0.000 0.000
0.000 3.134 0.000
-0.035 0.000 10.229
```

DOS(E_F) = 0.00 states/eV/cell
calculated volume = 11.761 A^3/atom
symmetry = Pm, No. 6
energy above the lowest structure with this stoichiometry = 0 meV per atom
density = 3.402 g/cm3

=====

Entry 11:
This record from the Alexandria database describes an optimized crystal structure of LiFe5O4F8. The functional is PBE with a Hubbard U. Values from VASP.

```
&SYSTEM
  ibrav = 0, nat = 18, ntyp = 4
/
ATOMIC_SPECIES
Li 6.94 Li.upf
Fe 55.84 Fe.upf
O 16.00 O.upf
F 19.00 F.upf
ATOMIC_POSITIONS crystal
Li 0.000 0.000 0.000
Fe 0.000 0.000 0.327
Fe 0.000 0.000 0.673
Fe 0.500 0.500 0.180
Fe 0.500 0.500 0.500
Fe 0.500 0.500 0.820
O 0.301 0.301 0.337
O 0.301 0.301 0.663
O 0.699 0.699 0.337
O 0.699 0.699 0.663
F 0.188 0.812 0.500
F 0.199 0.801 0.167
F 0.199 0.801 0.833
F 0.309 0.309 0.000
F 0.691 0.691 0.000
F 0.801 0.199 0.167
F 0.801 0.199 0.833
F 0.812 0.188 0.500
CELL_PARAMETERS angstrom
3.222 -3.451 0.000
3.222 3.451 0.000
0.000 0.000 9.120
```

DOS(E_F) = 0.00 states/eV/cell
calculated volume = 11.266 A^3/atom
symmetry = Cmmm, No. 65
energy above the lowest structure with this stoichiometry = 0 meV per atom
density = 4.112 g/cm3

=====

Entry 12:
This record from the Alexandria database describes an optimized crystal structure of Li2Fe4OF8. The functional is PBE with a Hubbard U. Values from VASP.

```
&SYSTEM
  ibrav = 0, nat = 30, ntyp = 4
/
ATOMIC_SPECIES
Li 6.94 Li.upf
Fe 55.84 Fe.upf
O 16.00 O.upf
F 19.00 F.upf
ATOMIC_POSITIONS crystal
Li 0.096 0.293 0.438
Li 0.245 0.737 0.833
Li 0.755 0.263 0.167
Li 0.904 0.707 0.562
Fe 0.187 0.322 0.785
Fe 0.351 0.656 0.232
Fe 0.360 0.121 0.091
Fe 0.430 0.890 0.417
Fe 0.570 0.110 0.583
Fe 0.640 0.879 0.909
Fe 0.649 0.344 0.768
Fe 0.813 0.678 0.215
O 0.462 0.136 0.832
O 0.538 0.864 0.168
F 0.061 0.240 0.043
F 0.095 0.526 0.271
F 0.198 0.729 0.435
F 0.212 0.117 0.330
F 0.295 0.307 0.546
F 0.345 0.518 0.777
F 0.345 0.924 0.644
F 0.390 0.729 0.987
F 0.610 0.271 0.013
F 0.655 0.076 0.356
F 0.655 0.482 0.223
F 0.705 0.693 0.454
F 0.788 0.883 0.670
F 0.802 0.271 0.565
F 0.905 0.474 0.729
F 0.939 0.760 0.957
CELL_PARAMETERS angstrom
6.508 0.000 0.000
2.326 7.747 0.000
3.092 2.662 8.251
```

DOS(E_F) = 0.00 states/eV/cell
calculated volume = 13.866 A^3/atom
symmetry = P-1, No. 2
density = 3.235 g/cm3

=====

Entry 13:
This record from the Alexandria database describes an optimized crystal structure of LiFe2OF3. The functional is PBE with a Hubbard U. Values from VASP.

```
&SYSTEM
  ibrav = 0, nat = 28, ntyp = 4
/
ATOMIC_SPECIES
Li 6.94 Li.upf
Fe 55.84 Fe.upf
O 16.00 O.upf
F 19.00 F.upf
ATOMIC_POSITIONS crystal
Li 0.000 0.240 0.250
Li 0.000 0.760 0.750
Li 0.240 0.500 0.000
Li 0.760 0.500 0.500
Fe 0.241 0.221 0.644
Fe 0.241 0.779 0.356
Fe 0.243 0.000 0.000
Fe 0.500 0.245 0.250
Fe 0.500 0.755 0.750
Fe 0.757 0.000 0.500
Fe 0.759 0.221 0.856
Fe 0.759 0.779 0.144
O 0.252 0.022 0.223
O 0.252 0.978 0.777
O 0.748 0.022 0.277
O 0.748 0.978 0.723
F 0.001 0.269 0.008
F 0.001 0.731 0.992
F 0.255 0.491 0.235
F 0.255 0.509 0.765
F 0.494 0.270 0.002
F 0.494 0.730 0.998
F 0.506 0.270 0.498
F 0.506 0.730 0.502
F 0.745 0.491 0.265
F 0.745 0.509 0.735
F 0.999 0.269 0.492
F 0.999 0.731 0.508
CELL_PARAMETERS angstrom
6.075 0.000 0.000
0.000 6.220 0.000
0.000 0.000 8.855
```

DOS(E_F) = 0.00 states/eV/cell
calculated volume = 11.950 A^3/atom
symmetry = P222_1, No. 17
energy above the lowest structure with this stoichiometry = 47 meV per atom
density = 3.804 g/cm3

=====

Entry 14:
This record from the Alexandria database describes an optimized crystal structure of LiFeOF2. The functional is PBE with a Hubbard U. Values from VASP.

```
&SYSTEM
  ibrav = 0, nat = 20, ntyp = 4
/
ATOMIC_SPECIES
Li 6.94 Li.upf
Fe 55.84 Fe.upf
O 16.00 O.upf
F 19.00 F.upf
ATOMIC_POSITIONS crystal
Li 0.000 0.000 0.000
Li 0.027 0.515 0.532
Li 0.101 0.633 0.843
Li 0.711 0.392 0.713
Fe 0.142 0.424 0.223
Fe 0.455 0.046 0.741
Fe 0.628 0.589 0.055
Fe 0.773 0.115 0.379
O 0.422 0.389 0.583
O 0.506 0.349 0.214
O 0.659 0.377 0.504
O 0.966 0.650 0.048
F 0.059 0.379 0.746
F 0.108 0.191 0.418
F 0.364 0.985 0.968
F 0.484 0.615 0.835
F 0.703 0.867 0.554
F 0.835 0.013 0.804
F 0.984 0.725 0.336
F 0.996 0.166 0.167
CELL_PARAMETERS angstrom
5.457 0.000 0.000
2.163 5.064 0.000
0.398 1.993 8.992
```

calculated volume = 12.424 A^3/atom
symmetry = P1, No. 1
energy above the lowest structure with this stoichiometry = 270 meV per atom
density = 3.122 g/cm3

=====

Entry 15:
This record from the Alexandria database describes an optimized crystal structure of LiFeOF. The functional is PBE with a Hubbard U. Values from VASP.

```
&SYSTEM
  ibrav = 0, nat = 8, ntyp = 4
/
ATOMIC_SPECIES
Li 6.94 Li.upf
Fe 55.84 Fe.upf
O 16.00 O.upf
F 19.00 F.upf
ATOMIC_POSITIONS crystal
Li 0.000 0.000 0.000
Li 0.000 0.500 0.500
Fe 0.500 0.000 0.679
Fe 0.500 0.500 0.179
O 0.500 0.000 0.993
O 0.500 0.500 0.493
F 0.000 0.000 0.673
F 0.000 0.500 0.173
CELL_PARAMETERS angstrom
4.495 0.000 0.000
0.000 3.361 0.000
0.000 0.000 6.221
```

DOS(E_F) = 0.00 states/eV/cell
calculated volume = 11.750 A^3/atom
symmetry = Amm2, No. 38
energy above the lowest structure with this stoichiometry = 15 meV per atom
density = 3.455 g/cm3

=====

Number 1: total energy -5.095 eV per atom. Number 2: total energy -5.538 eV per atom. Number 3: total energy -5.110 eV per atom. Number 4: total energy -5.503 eV per atom. Number 5: total energy -5.616 eV per atom. Number 6: total energy -5.563 eV per atom. Number 7: total energy -5.311 eV per atom. Number 8: total energy -5.734 eV per atom. Number 9: total energy -5.144 eV per atom. Number 10: total energy -5.369 eV per atom. Number 11: total energy -5.692 eV per atom. Number 12: total energy -5.463 eV per atom. Number 13: total energy -5.608 eV per atom. Number 14: total energy -5.299 eV per atom. Number 15: total energy -5.655 eV per atom.